The following is a PBEsol calculation of a geometry-optimized K2RbNaAu structure, from Alexandria via LeMat-Bulk.

- DOS at the Fermi energy (states/eV/f.u.) = 3.04
- DFT formation energy (eV per formula unit) = -0.19
- DFT total energy (eV/atom) = -1.76

a = 5.9394 Å, b = 6.4409 Å, c = 6.4409 Å
α = 90.00°, β = 90.00°, γ = 90.00°
Closest atoms and distances in Å follow each position.
Element x y z (fractional)
1 Rb 0.5000 0.5000 0.5000  8 K 4.38, 4 Na 4.55
2 Na 0.5000 0.0000 0.0000  2 Au 2.97
3 K 0.0000 0.5000 0.0000  2 Au 3.22
4 K 0.0000 0.0000 0.5000  2 Au 3.22
5 Au 0.0000 0.0000 0.0000  2 Na 2.97, 4 K 3.22